PBE ZrMn2Au, relaxed; uncorrected energy = -7.41 eV per atom; total moment = 1.605 μB/atom; DFT formation energy = 133 meV/atom; calculated density = 9.467 g/cm3; ΔE to the lowest computed polymorph = 244 meV per atom
1.0
4.4649 0.0000 0.0000
0.0000 2.9422 0.1676
0.0000 0.5535 5.3466
Au Mn Zr
1 2 1
Direct
0.5000 0.7500 0.7500
0.0000 0.9448 0.0026
0.0000 0.5552 0.4974
0.5000 0.2500 0.2500